--- i ---
Compound: Na2Sb2S
Source: Alexandria via LeMat-Bulk
Functional: PBE-GGA
Structure: optimized geometry

```
10
Lattice="7.463 0.000 0.000 0.000 7.463 0.000 0.000 0.000 4.905" Properties=species:S:1:pos:R:3 pbc="T T T"
Na 1.253 2.478 0.000
Na 2.478 6.210 0.000
Na 4.985 1.253 0.000
Na 6.210 4.985 0.000
Sb 1.048 4.779 2.452
Sb 2.684 1.048 2.452
Sb 4.779 6.415 2.452
Sb 6.415 2.684 2.452
S 0.000 0.000 2.452
S 3.732 3.732 2.452
```

Summary:
Crystal system: tetragonal

--- ii ---
Compound: Na2Sb2S
Source: Alexandria via LeMat-Bulk
Functional: PBE-GGA
Structure: optimized geometry

```
5
Lattice="-3.148 3.148 3.992 3.148 -3.148 3.992 3.148 3.148 -3.992" Properties=species:S:1:pos:R:3 pbc="T T T"
Na 3.148 0.000 1.996
Na 0.000 3.148 1.996
Sb 0.000 0.000 1.399
Sb 0.000 0.000 6.584
S 0.000 0.000 3.992
```

Summary:
Crystal system: tetragonal

Which is more stable than every other structure shown? i is more stable than every other one.